# TbY2Er (GGA-PBE, relaxed)
# Relative energy among the computed polymorphs   0.000 eV per atom
data_TbY2Er
_space_group_name_H-M_alt 'P 1'
_space_group_IT_number 1
_cell_length_a 3.632
_cell_length_b 6.282
_cell_length_c 6.710
_cell_angle_alpha 117.90
_cell_angle_beta 105.68
_cell_angle_gamma 90.03
loop_
_space_group_symop_operation_xyz
'x,y,z'
loop_
_atom_site_label
_atom_site_type_symbol
_atom_site_fract_x
_atom_site_fract_y
_atom_site_fract_z
_atom_site_occupancy
Tb1 Tb 0.000 0.000 0.000 1
Y1 Y 0.502 0.502 0.005 1
Y2 Y 0.752 0.085 0.502 1
Er1 Er 0.253 0.584 0.504 1

# Tb3YEr8

Crystalline Tb3YEr8 at its relaxed geometry (GGA-PBE, Alexandria via LeMat-Bulk).

Geometry as CIF:
```
data_Tb3YEr8
_space_group_name_H-M_alt 'I 4/m m m'
_space_group_IT_number 139
_space_group_name_Hall '-I 4 2'
_cell_length_a 7.640
_cell_length_b 7.640
_cell_length_c 15.309
_cell_angle_alpha 90.00
_cell_angle_beta 90.00
_cell_angle_gamma 90.00
loop_
_atom_site_label
_atom_site_type_symbol
_atom_site_fract_x
_atom_site_fract_y
_atom_site_fract_z
_atom_site_occupancy
Tb1 Tb 0.000 0.000 0.000 1
Tb2 Tb 0.000 0.500 0.250 1
Y1 Y 0.000 0.000 0.500 1
Er1 Er 0.249 0.249 0.125 1
```

# Tb3YEr5 (GGA-PBE, relaxed)
# Relative energy among the computed polymorphs   0.402 eV per atom
data_Tb3YEr5
_space_group_name_H-M_alt 'C 1 2/m 1'
_space_group_IT_number 12
_cell_length_a 15.123
_cell_length_b 11.283
_cell_length_c 9.930
_cell_angle_alpha 90.00
_cell_angle_beta 130.51
_cell_angle_gamma 90.00
loop_
_space_group_symop_operation_xyz
'x,y,z'
'-x,-y,-z'
'-x,y,-z'
'x,-y,z'
'x+1/2,y+1/2,z'
'-x+1/2,-y+1/2,-z'
'-x+1/2,y+1/2,-z'
'x+1/2,-y+1/2,z'
loop_
_atom_site_label
_atom_site_type_symbol
_atom_site_fract_x
_atom_site_fract_y
_atom_site_fract_z
_atom_site_occupancy
Tb1 Tb 0.000 0.000 0.000 1
Tb2 Tb 0.000 0.500 0.500 1
Tb3 Tb 0.010 0.000 0.312 1
Tb4 Tb 0.021 0.500 0.864 1
Y1 Y 0.250 0.000 0.100 1
Er1 Er 0.000 0.240 0.500 1
Er2 Er 0.153 0.249 0.251 1
Er3 Er 0.220 0.000 0.728 1
Er4 Er 0.222 0.500 0.537 1

One value per record, in order, for ΔH_f (0 K): 0.004, 0.744, 0.534 eV/atom.